[1]
Density functional theory data (GGA-PBE) for a geometry-optimized GaPt2Rh structure.

a = 6.2442 Å, b = 6.2442 Å, c = 6.2442 Å
α = 90.00°, β = 90.00°, γ = 90.00°
Space group F-43m (No. 216)
Inequivalent atoms, fractional coordinates:
Ga (0.0000, 0.0000, 0.0000) x4
Pt (0.0000, 0.0000, 0.5000) x4
Pt (0.2500, 0.2500, 0.2500) x4
Rh (0.2500, 0.2500, 0.7500) x4

Summary:
Spin magnetization (μB/f.u.): 0.00
Final energy (eV/cell): -94.12
V (Å³ per cell): 243.5
ΔH_f (0 K) (meV/atom): -267



[2]
Density functional theory data (GGA-PBE) for a geometry-optimized Ga5PtRh4 structure.

a = 2.9863 Å, b = 2.9863 Å, c = 16.0285 Å
α = 90.00°, β = 90.00°, γ = 90.00°
Space group P4/mmm (No. 123)
Inequivalent atoms, fractional coordinates:
Ga (0.0000, 0.0000, 0.0000) x1
Ga (0.0000, 0.0000, 0.1952) x2
Ga (0.0000, 0.0000, 0.3920) x2
Pt (0.5000, 0.5000, 0.5000) x1
Rh (0.5000, 0.5000, 0.0966) x2
Rh (0.5000, 0.5000, 0.2924) x2

Summary:
Spin magnetization (μB/f.u.): 0.00
Final energy (eV/cell): -57.00
V (Å³ per cell): 142.9
ΔH_f (0 K) (meV/atom): -642



Question: Among the records above, which one has the highest final energy?
Answer: Ga5PtRh4



Please write out number 1 again, unchanged.
Density functional theory data (GGA-PBE) for a geometry-optimized GaPt2Rh structure.

a = 6.2442 Å, b = 6.2442 Å, c = 6.2442 Å
α = 90.00°, β = 90.00°, γ = 90.00°
Space group F-43m (No. 216)
Inequivalent atoms, fractional coordinates:
Ga (0.0000, 0.0000, 0.0000) x4
Pt (0.0000, 0.0000, 0.5000) x4
Pt (0.2500, 0.2500, 0.2500) x4
Rh (0.2500, 0.2500, 0.7500) x4

Summary:
Spin magnetization (μB/f.u.): 0.00
Final energy (eV/cell): -94.12
V (Å³ per cell): 243.5
ΔH_f (0 K) (meV/atom): -267



Question: Among the records above, which one has the lowest final energy?
Answer: GaPt2Rh